Entry 1:
Here is PrLuAlSn after structural relaxation from Alexandria. Energies are from PBE.

The structure in POSCAR format:
```
PrLuAlSn
1.0
-0.6373 4.9393 -1.7939
-4.1756 2.8606 1.5498
0.6730 4.1100 3.2674
Pr Lu Sn Al
1 1 1 1
Direct
0.5000 0.5000 0.5000 Pr
0.0000 0.0000 0.0000 Lu
0.2500 0.2500 0.2500 Sn
0.7500 0.7500 0.7500 Al
```

Properties
Symmetry: F-43m (216)
DOS at the Fermi energy (states/eV/atom): 0.935
Crystal system: cubic
Calculated total energy (eV per cell): -18.6
ΔH_f (0 K) (eV per atom): -0.40



Entry 2:
Here is TbPrLuAl after structural relaxation from Alexandria. Energies are from PBE.

The structure in POSCAR format:
```
TbPrLuAl
1.0
-1.8139 -0.3415 -5.0667
3.3903 -1.2648 -3.9980
-0.3562 -4.8067 -2.4181
Pr Lu Tb Al
1 1 1 1
Direct
0.0000 0.0000 0.0000 Pr
0.7500 0.7500 0.7500 Lu
0.5000 0.5000 0.5000 Tb
0.2500 0.2500 0.2500 Al
```

Properties
Symmetry: F-43m (216)
DOS at the Fermi energy (states/eV/atom): 1.658
Crystal system: cubic
Calculated total energy (eV per cell): -18.0
ΔH_f (0 K) (eV per atom): -0.07



Entry 3:
Here is PrTmLuAl after structural relaxation from Alexandria. Energies are from PBE.

The structure in POSCAR format:
```
PrTmLuAl
1.0
-4.8397 -2.2381 -0.5522
-0.5879 -4.4112 -2.9886
-1.0611 -4.7032 2.3431
Pr Lu Tm Al
1 1 1 1
Direct
0.5000 0.5000 0.5000 Pr
0.7500 0.7500 0.7500 Lu
0.0000 0.0000 0.0000 Tm
0.2500 0.2500 0.2500 Al
```

Properties
Symmetry: F-43m (216)
DOS at the Fermi energy (states/eV/atom): 1.512
Crystal system: cubic
Calculated total energy (eV per cell): -17.8
ΔH_f (0 K) (eV per atom): -0.07



Entry 4:
Here is PrYLuAl after structural relaxation from Alexandria. Energies are from PBE.

The structure in POSCAR format:
```
PrYLuAl
1.0
5.3950 0.0000 0.0000
2.6975 4.6722 0.0000
2.6975 1.5574 4.4050
Pr Y Lu Al
1 1 1 1
Direct
0.2500 0.2500 0.2500 Pr
0.7500 0.7500 0.7500 Y
0.0000 0.0000 0.0000 Lu
0.5000 0.5000 0.5000 Al
```

Properties
Symmetry: F-43m (216)
DOS at the Fermi energy (states/eV/atom): 1.659
Crystal system: cubic
Calculated total energy (eV per cell): -19.8
ΔH_f (0 K) (eV per atom): -0.08